# PBE with a Hubbard U MnHF2, relaxed
# Total DFT energy (no corrections) ... -5.037 eV per atom
# Magnetic moment ... 14.93 Bohr magnetons per cell
# Calculated volume ... 12.377 Å³/atom
data_MnHF2
_cell_length_a 3.1555
_cell_length_b 3.1555
_cell_length_c 17.2230
_cell_angle_alpha 90.00
_cell_angle_beta 90.00
_cell_angle_gamma 120.00
_space_group_name_H-M_alt 'R -3 m'
_space_group_IT_number 166
_space_group_name_Hall '-R 3 2"'
loop_
_atom_site_label
_atom_site_type_symbol
_atom_site_fract_x
_atom_site_fract_y
_atom_site_fract_z
Mn1 Mn 0.0000 0.0000 0.0000
H1 H 0.0000 0.0000 0.5000
F1 F 0.0000 0.0000 0.4329